# 1
Crystalline InRh6 at its relaxed geometry, computed with PBE-GGA.

```
7
Lattice="-3.386 3.386 3.386 3.386 -3.386 3.386 3.386 3.386 -3.386" Properties=species:S:1:pos:R:3 pbc="T T T"
In 0.000 0.000 0.000
Rh 3.386 1.693 0.000
Rh 3.386 0.000 1.693
Rh 1.693 3.386 0.000
Rh 1.693 0.000 3.386
Rh 0.000 3.386 1.693
Rh 0.000 1.693 3.386
```

Magnetization ... 0.0 μB per formula unit
Crystal system ... cubic
Density of states at the Fermi level ... 11.7 states/eV/cell



# 2
Crystalline In3Rh at its relaxed geometry, computed with PBE-GGA.

```
4
Lattice="-1.889 3.971 2.983 1.889 -3.971 2.983 1.889 3.971 -2.983" Properties=species:S:1:pos:R:3 pbc="T T T"
In 0.000 0.000 0.000
In 1.889 2.446 -0.342
In 0.000 1.526 2.641
Rh 0.000 3.971 1.076
```

Magnetization ... 0.0 μB per formula unit
Crystal system ... orthorhombic
Density of states at the Fermi level ... 1.4 states/eV/cell



| no. | ΔE_f (kJ/mol of atoms) |
| --- | --- |
| 1 | 82.9 |
| 2 | -17.3 |